No. 1
# SmSc5Pd4 | Alexandria | GGA-PBE | relaxed
data_SmSc5Pd4
_chemical_formula_sum 'Sm1 Sc5 Pd4'
_space_group_name_H-M_alt 'P 4/m m m'
_space_group_IT_number 123
_space_group_name_Hall '-P 4 2'
_cell_length_a 3.336
_cell_length_b 3.336
_cell_length_c 18.183
_cell_angle_alpha 90.00
_cell_angle_beta 90.00
_cell_angle_gamma 90.00
loop_
_atom_site_label
_atom_site_type_symbol
_atom_site_fract_x
_atom_site_fract_y
_atom_site_fract_z
Sm1 Sm 0.000 0.000 0.000
Sc1 Sc 0.500 0.500 0.140
Sc2 Sc 0.500 0.500 0.318
Sc3 Sc 0.500 0.500 0.500
Pd1 Pd 0.000 0.000 0.228
Pd2 Pd 0.000 0.000 0.409
# ΔE_f, kJ/mol of atoms: -67.2

---

No. 2
# Sm2ScPd | Alexandria | GGA-PBE | relaxed
data_Sm2ScPd
_chemical_formula_sum 'Sm2 Sc1 Pd1'
_space_group_name_H-M_alt 'P 4/m m m'
_space_group_IT_number 123
_space_group_name_Hall '-P 4 2'
_cell_length_a 3.686
_cell_length_b 3.686
_cell_length_c 7.655
_cell_angle_alpha 90.00
_cell_angle_beta 90.00
_cell_angle_gamma 90.00
loop_
_atom_site_label
_atom_site_type_symbol
_atom_site_fract_x
_atom_site_fract_y
_atom_site_fract_z
Sm1 Sm 0.000 0.000 0.220
Sc1 Sc 0.500 0.500 0.500
Pd1 Pd 0.500 0.500 0.000
# ΔE_f, kJ/mol of atoms: -33.0

---

No. 3
# Sm2ScPd4 | Alexandria | GGA-PBE | relaxed
data_Sm2ScPd4
_chemical_formula_sum 'Sm4 Sc2 Pd8'
_space_group_name_H-M_alt 'C 1 2/m 1'
_space_group_IT_number 12
_space_group_name_Hall '-C 2y'
_cell_length_a 6.046
_cell_length_b 7.769
_cell_length_c 7.360
_cell_angle_alpha 90.00
_cell_angle_beta 102.57
_cell_angle_gamma 90.00
loop_
_atom_site_label
_atom_site_type_symbol
_atom_site_fract_x
_atom_site_fract_y
_atom_site_fract_z
Sm1 Sm 0.080 0.000 0.271
Sc1 Sc 0.000 0.500 0.000
Pd1 Pd 0.127 0.500 0.362
Pd2 Pd 0.250 0.250 0.000
# ΔE_f, kJ/mol of atoms: -40.9

---

No. 4
# SmScPd3 | Alexandria | GGA-PBE | relaxed
data_SmScPd3
_chemical_formula_sum 'Sm4 Sc4 Pd12'
_space_group_name_H-M_alt 'P 1 21/c 1'
_space_group_IT_number 14
_space_group_name_Hall '-P 2ybc'
_cell_length_a 9.786
_cell_length_b 5.597
_cell_length_c 7.188
_cell_angle_alpha 90.00
_cell_angle_beta 93.90
_cell_angle_gamma 90.00
loop_
_atom_site_label
_atom_site_type_symbol
_atom_site_fract_x
_atom_site_fract_y
_atom_site_fract_z
Sm1 Sm 0.124 0.133 0.196
Sc1 Sc 0.439 0.644 0.675
Pd1 Pd 0.111 0.647 0.046
Pd2 Pd 0.282 0.557 0.365
Pd3 Pd 0.369 0.105 0.510
# ΔE_f, kJ/mol of atoms: -79.8

---

No. 5
# SmSc4Pd4 | Alexandria | GGA-PBE | relaxed
data_SmSc4Pd4
_chemical_formula_sum 'Sm2 Sc8 Pd8'
_space_group_name_H-M_alt 'P 42/n'
_space_group_IT_number 86
_cell_length_a 8.777
_cell_length_b 8.777
_cell_length_c 5.419
_cell_angle_alpha 90.00
_cell_angle_beta 90.00
_cell_angle_gamma 90.00
loop_
_space_group_symop_operation_xyz
'x,y,z'
'-x,-y,-z'
'-y,x+1/2,z+1/2'
'y,-x+1/2,-z+1/2'
'-x+1/2,-y+1/2,z'
'x+1/2,y+1/2,-z'
'y+1/2,-x,z+1/2'
'-y+1/2,x,-z+1/2'
loop_
_atom_site_label
_atom_site_type_symbol
_atom_site_fract_x
_atom_site_fract_y
_atom_site_fract_z
Sm1 Sm 0.250 0.250 0.250
Sc1 Sc 0.090 0.648 0.162
Pd1 Pd 0.047 0.613 0.665
# ΔE_f, kJ/mol of atoms: -58.1

---

No. 6
# SmSc2Pd | Alexandria | GGA-PBE | relaxed
data_SmSc2Pd
_chemical_formula_sum 'Sm4 Sc8 Pd4'
_space_group_name_H-M_alt 'P n m a'
_space_group_IT_number 62
_space_group_name_Hall '-P 2ac 2n'
_cell_length_a 6.708
_cell_length_b 9.391
_cell_length_c 6.181
_cell_angle_alpha 90.00
_cell_angle_beta 90.00
_cell_angle_gamma 90.00
loop_
_atom_site_label
_atom_site_type_symbol
_atom_site_fract_x
_atom_site_fract_y
_atom_site_fract_z
Sm1 Sm 0.007 0.250 0.124
Sc1 Sc 0.176 0.055 0.674
Pd1 Pd 0.108 0.750 0.415
# ΔE_f, kJ/mol of atoms: -41.4

---

No. 7
# Sm2ScPd | Alexandria | GGA-PBE | relaxed
data_Sm2ScPd
_chemical_formula_sum 'Sm4 Sc2 Pd2'
_space_group_name_H-M_alt 'C m m 2'
_space_group_IT_number 35
_space_group_name_Hall 'C 2 -2'
_cell_length_a 4.951
_cell_length_b 4.962
_cell_length_c 8.450
_cell_angle_alpha 90.00
_cell_angle_beta 90.00
_cell_angle_gamma 90.00
loop_
_atom_site_label
_atom_site_type_symbol
_atom_site_fract_x
_atom_site_fract_y
_atom_site_fract_z
Sm1 Sm 0.000 0.000 0.000
Sm2 Sm 0.000 0.500 0.319
Sc1 Sc 0.000 0.000 0.609
Pd1 Pd 0.000 0.500 0.771
# ΔE_f, kJ/mol of atoms: -36.0

---

No. 8
# Sm2ScPd | Alexandria | GGA-PBE | relaxed
data_Sm2ScPd
_chemical_formula_sum 'Sm6 Sc3 Pd3'
_space_group_name_H-M_alt 'R -3 m'
_space_group_IT_number 166
_space_group_name_Hall '-R 3 2"'
_cell_length_a 3.5153
_cell_length_b 3.5153
_cell_length_c 31.6712
_cell_angle_alpha 90.00
_cell_angle_beta 90.00
_cell_angle_gamma 120.00
loop_
_atom_site_label
_atom_site_type_symbol
_atom_site_fract_x
_atom_site_fract_y
_atom_site_fract_z
Sm1 Sm 0.0000 0.0000 0.1010
Sc1 Sc 0.0000 0.0000 0.0000
Pd1 Pd 0.0000 0.0000 0.5000
# ΔE_f, kJ/mol of atoms: 1.5

---

No. 9
# SmSc2Pd | Alexandria | GGA-PBE | relaxed
data_SmSc2Pd
_chemical_formula_sum 'Sm1 Sc2 Pd1'
_space_group_name_H-M_alt 'P 4/m m m'
_space_group_IT_number 123
_space_group_name_Hall '-P 4 2'
_cell_length_a 3.390
_cell_length_b 3.390
_cell_length_c 8.128
_cell_angle_alpha 90.00
_cell_angle_beta 90.00
_cell_angle_gamma 90.00
loop_
_atom_site_label
_atom_site_type_symbol
_atom_site_fract_x
_atom_site_fract_y
_atom_site_fract_z
Sm1 Sm 0.000 0.000 0.000
Sc1 Sc 0.500 0.500 0.306
Pd1 Pd 0.000 0.000 0.500
# ΔE_f, kJ/mol of atoms: -38.9

---

No. 10
# Sm2ScPd | Alexandria | GGA-PBE | relaxed
data_Sm2ScPd
_chemical_formula_sum 'Sm2 Sc1 Pd1'
_space_group_name_H-M_alt 'P 4/m m m'
_space_group_IT_number 123
_space_group_name_Hall '-P 4 2'
_cell_length_a 5.239
_cell_length_b 5.239
_cell_length_c 3.679
_cell_angle_alpha 90.00
_cell_angle_beta 90.00
_cell_angle_gamma 90.00
loop_
_atom_site_label
_atom_site_type_symbol
_atom_site_fract_x
_atom_site_fract_y
_atom_site_fract_z
Sm1 Sm 0.000 0.500 0.000
Sc1 Sc 0.000 0.000 0.500
Pd1 Pd 0.500 0.500 0.500
# ΔE_f, kJ/mol of atoms: -25.4

---

No. 11
# Sm4ScPd2 | Alexandria | GGA-PBE | relaxed
data_Sm4ScPd2
_chemical_formula_sum 'Sm12 Sc3 Pd6'
_space_group_name_H-M_alt 'R -3 m'
_space_group_IT_number 166
_space_group_name_Hall '-R 3 2"'
_cell_length_a 5.2335
_cell_length_b 5.2335
_cell_length_c 25.2490
_cell_angle_alpha 90.00
_cell_angle_beta 90.00
_cell_angle_gamma 120.00
loop_
_atom_site_label
_atom_site_type_symbol
_atom_site_fract_x
_atom_site_fract_y
_atom_site_fract_z
Sm1 Sm 0.0000 0.0000 0.1208
Sm2 Sm 0.0000 0.0000 0.2870
Sc1 Sc 0.0000 0.0000 0.5000
Pd1 Pd 0.0000 0.0000 0.3987
# ΔE_f, kJ/mol of atoms: -29.2

---

No. 12
# SmSc2Pd | Alexandria | GGA-PBE | relaxed
data_SmSc2Pd
_chemical_formula_sum 'Sm4 Sc8 Pd4'
_space_group_name_H-M_alt 'C m c m'
_space_group_IT_number 63
_space_group_name_Hall '-C 2c 2'
_cell_length_a 4.669
_cell_length_b 11.323
_cell_length_c 7.335
_cell_angle_alpha 90.00
_cell_angle_beta 90.00
_cell_angle_gamma 90.00
loop_
_atom_site_label
_atom_site_type_symbol
_atom_site_fract_x
_atom_site_fract_y
_atom_site_fract_z
Sm1 Sm 0.000 0.052 0.250
Sc1 Sc 0.000 0.348 0.039
Pd1 Pd 0.000 0.202 0.750
# ΔE_f, kJ/mol of atoms: -41.4